# Na3CrO6 | the Alexandria database | PBE+U | relaxed
# Uncorrected energy in eV per cell: -97.69
# Total magnetization in μB per atom: 0.0923
data_Na3CrO6
_chemical_formula_sum 'Na6 Cr2 O12'
_symmetry_space_group_name_H-M 'C m m m'
_symmetry_Int_Tables_number 65
_symmetry_space_group_name_Hall '-C 2 2'
_cell_length_a 9.239
_cell_length_b 13.155
_cell_length_c 7.714
_cell_angle_alpha 90.00
_cell_angle_beta 90.00
_cell_angle_gamma 90.00
loop_
_atom_site_label
_atom_site_fract_x
_atom_site_fract_y
_atom_site_fract_z
Na1 0.000 0.000 0.000
Na2 0.250 0.250 0.500
Cr1 0.000 0.000 0.500
O1 0.000 0.000 0.277
O2 0.079 0.142 0.500